Model P:
An optimized crystal structure of RbH2Au, computed with PBE.

a = 5.9163 Å, b = 5.9163 Å, c = 5.8366 Å
α = 59.55°, β = 59.55°, γ = 90.00°
Fractional positions:
Rb  0.5000  0.5000  0.0000
Rb  0.2500  0.7500  0.5000
H  0.8750  0.0698  0.7500
H  0.9302  0.6250  0.2500
H  0.3750  0.1802  0.7500
H  0.8198  0.1250  0.2500
Au  0.7500  0.2500  0.5000
Au  0.0000  0.0000  0.0000

Results
- mass density (g cm⁻³) = 6.63
- V (Å³ per cell) = 142
- density of states at the Fermi level (states/eV/cell) = 0.007


Model Q:
An optimized crystal structure of RbH2Au, computed with PBE.

a = 4.6633 Å, b = 4.6633 Å, c = 4.6633 Å
α = 60.00°, β = 60.00°, γ = 60.00°
Each line ends with the local moment (μB).
Fractional positions:
Au  0.5000  0.5000  0.5000  0.11
Rb  0.0000  0.0000  0.0000  0.01
H  0.2500  0.2500  0.2500  0.12
H  0.7500  0.7500  0.7500  0.12

Results
- mass density (g cm⁻³) = 6.59
- V (Å³ per cell) = 72
- density of states at the Fermi level (states/eV/cell) = 1.233


In order of decreasing stability: model P, model Q.


Model P:
An optimized crystal structure of Rb2H3Au, computed with PBE.

a = 6.6505 Å, b = 6.6505 Å, c = 7.9127 Å
α = 93.17°, β = 114.76°, γ = 115.85°
Fractional positions:
Rb  0.3556  0.9928  0.6866
Rb  0.8061  0.6689  0.8134
Rb  0.1939  0.3311  0.1866
Rb  0.6444  0.0072  0.3134
H  0.2630  0.6491  0.9307
H  0.9099  0.1599  0.7500
H  0.7816  0.6678  0.4307
H  0.2184  0.3322  0.5693
H  0.0901  0.8401  0.2500
H  0.7370  0.3509  0.0693
Au  0.1795  0.4295  0.7500
Au  0.8205  0.5705  0.2500

Results
- mass density (g cm⁻³) = 4.50
- V (Å³ per cell) = 274


Model Q:
An optimized crystal structure of Rb2H3Au, computed with PBE.

a = 5.7220 Å, b = 5.7220 Å, c = 10.1792 Å
α = 106.61°, β = 106.61°, γ = 89.02°
Fractional positions:
Au  0.6364  0.6364  0.2729
Au  0.3636  0.3636  0.7271
H  0.7841  0.3997  0.1838
H  0.6003  0.2159  0.8162
H  0.2693  0.2693  0.5386
H  0.3997  0.7841  0.1838
H  0.7307  0.7307  0.4614
H  0.2159  0.6003  0.8162
Rb  0.2500  0.7500  0.5000
Rb  0.2327  0.2327  0.0000
Rb  0.7500  0.2500  0.5000
Rb  0.7673  0.7673  0.0000

Results
- mass density (g cm⁻³) = 4.04
- V (Å³ per cell) = 305


In order of decreasing stability: model P, model Q.


Model P:
An optimized crystal structure of RbH4Au, computed with PBE.

a = 5.4059 Å, b = 4.9986 Å, c = 6.7562 Å
α = 90.00°, β = 90.00°, γ = 89.73°
Fractional positions:
H  0.2263  0.7775  0.3068
H  0.7737  0.7225  0.3068
H  0.7737  0.2225  0.6932
H  0.1807  0.9613  0.9756
H  0.8193  0.0387  0.0244
H  0.1807  0.4613  0.0244
H  0.2263  0.2775  0.6932
H  0.8193  0.5387  0.9756
Rb  0.5000  0.7500  0.7088
Rb  0.5000  0.2500  0.2912
Au  0.0000  0.7500  0.1362
Au  0.0000  0.2500  0.8638

Results
- mass density (g cm⁻³) = 5.21
- V (Å³ per cell) = 183


Model Q:
An optimized crystal structure of RbH4Au, computed with PBE.

a = 5.3509 Å, b = 5.7530 Å, c = 14.7014 Å
α = 125.69°, β = 16.42°, γ = 122.24°
Fractional positions:
H  0.1472  0.4807  0.3553
H  0.8461  0.7760  0.6529
H  0.8582  0.1833  0.6484
H  0.1594  0.8881  0.3508
Au  0.0027  0.8320  0.5019
Rb  0.5027  0.3320  0.0019

Results
- mass density (g cm⁻³) = 4.61
- V (Å³ per cell) = 103
- density of states at the Fermi level (states/eV/cell) = 0.000


In order of decreasing stability: model Q, model P.


Model P:
An optimized crystal structure of Rb2TeHAu, computed with PBE.

a = 6.4389 Å, b = 6.4389 Å, c = 3.6765 Å
α = 90.00°, β = 90.00°, γ = 90.00°
Fractional positions:
Rb  0.5000  0.0000  0.0000
Rb  0.0000  0.5000  0.0000
Te  0.5000  0.5000  0.5000
Au  0.0000  0.0000  0.5000
H  0.0000  0.0000  0.0000

Results
- mass density (g cm⁻³) = 5.41
- V (Å³ per cell) = 152
- density of states at the Fermi level (states/eV/cell) = 1.528


Model Q:
An optimized crystal structure of Rb2TeHAu, computed with PBE.

a = 5.8870 Å, b = 3.7527 Å, c = 8.1021 Å
α = 103.39°, β = 111.30°, γ = 90.00°
Each line ends with the local moment (μB).
Fractional positions:
Rb  0.9163  0.9163  0.8326  0.00
Rb  0.2164  0.2164  0.4329  0.00
Au  0.6791  0.6791  0.3581  0.01
H  0.6953  0.1953  0.3906  0.00
Te  0.4760  0.4760  0.9521  0.10

Results
- mass density (g cm⁻³) = 5.10
- V (Å³ per cell) = 162
- density of states at the Fermi level (states/eV/cell) = 3.050


In order of decreasing stability: model P, model Q.


Model P:
An optimized crystal structure of Re2HAu, computed with PBE.

a = 4.2814 Å, b = 4.2814 Å, c = 4.2814 Å
α = 60.00°, β = 60.00°, γ = 60.00°
Each line ends with the local moment (μB).
Fractional positions:
Au  0.5000  0.5000  0.5000  0.02
Re  0.7500  0.7500  0.7500  0.50
Re  0.2500  0.2500  0.2500  0.50
H  0.0000  0.0000  0.0000  -0.01

Results
- mass density (g cm⁻³) = 17.07
- V (Å³ per cell) = 55
- density of states at the Fermi level (states/eV/cell) = 4.476


Model Q:
An optimized crystal structure of Re2HAu, computed with PBE.

a = 5.9496 Å, b = 5.9496 Å, c = 5.1281 Å
α = 54.54°, β = 54.54°, γ = 90.00°
Fractional positions:
Re  0.8750  0.7495  0.7500
Re  0.3750  0.5005  0.7500
Re  0.4995  0.1250  0.2500
Re  0.2505  0.6250  0.2500
H  0.2500  0.7500  0.5000
H  0.5000  0.5000  0.0000
Au  0.0000  0.0000  0.0000
Au  0.7500  0.2500  0.5000

Results
- mass density (g cm⁻³) = 18.25
- V (Å³ per cell) = 104
- density of states at the Fermi level (states/eV/cell) = 1.062


In order of decreasing stability: model Q, model P.


Model P:
An optimized crystal structure of ReHAu2, computed with PBE.

a = 6.1003 Å, b = 6.1003 Å, c = 5.2574 Å
α = 54.54°, β = 54.54°, γ = 90.00°
Fractional positions:
Re  0.0000  0.0000  0.0000
Re  0.7500  0.2500  0.5000
Au  0.2253  0.6250  0.2500
Au  0.5247  0.1250  0.2500
Au  0.3750  0.4753  0.7500
Au  0.8750  0.7747  0.7500
H  0.5000  0.5000  0.0000
H  0.2500  0.7500  0.5000

Results
- mass density (g cm⁻³) = 17.26
- V (Å³ per cell) = 112
- density of states at the Fermi level (states/eV/cell) = 6.942


Model Q:
An optimized crystal structure of ReHAu2, computed with PBE.

a = 4.4329 Å, b = 4.4329 Å, c = 4.4329 Å
α = 60.00°, β = 60.00°, γ = 60.00°
Each line ends with the local moment (μB).
Fractional positions:
H  0.0000  0.0000  0.0000  0.04
Re  0.5000  0.5000  0.5000  1.67
Au  0.2500  0.2500  0.2500  0.07
Au  0.7500  0.7500  0.7500  0.07

Results
- mass density (g cm⁻³) = 15.67
- V (Å³ per cell) = 62
- density of states at the Fermi level (states/eV/cell) = 2.275


In order of decreasing stability: model P, model Q.